VASP calculation (PBE) on a geometry-optimized Dy2Y5Er12 structure.

Cell lengths 9.0930, 9.0930, 8.4621 Å; angles 91.12, 91.12, 60.12 degrees
With the nearest neighbours (Å) after each atom.
Element x y z (fractional)
Dy: 0.1794 0.8206 0.0000  1 Dy 3.27, 8 Er 3.37-3.53, 2 Y 3.54
Dy: 0.8206 0.1794 0.0000  1 Dy 3.27, 8 Er 3.37-3.53, 2 Y 3.54
Y: 0.1992 0.1992 0.0091  8 Er 3.40-3.59, 2 Dy 3.54, 1 Y 3.66
Y: 0.2665 0.2665 0.4259  10 Er 3.35-3.71, 2 Y 3.66-3.71
Y: 0.5000 0.5000 0.5000  10 Er 3.53-3.68, 2 Y 3.71
Y: 0.7335 0.7335 0.5741  10 Er 3.35-3.71, 2 Y 3.66-3.71
Y: 0.8008 0.8008 0.9909  8 Er 3.40-3.59, 2 Dy 3.54, 1 Y 3.66
Er: 0.0562 0.0562 0.3341  7 Er 3.35-3.44, 2 Dy 3.37, 2 Y 3.38-3.59
Er: 0.0664 0.6802 0.3390  4 Y 3.35-3.68, 6 Er 3.38-3.74, 1 Dy 3.53
Er: 0.1637 0.5276 0.7556  4 Er 3.31-3.58, 1 Dy 3.40, 5 Y 3.45-3.71
Er: 0.3198 0.9336 0.6610  4 Y 3.35-3.68, 6 Er 3.38-3.74, 1 Dy 3.53
Er: 0.4091 0.4091 0.1144  2 Dy 3.40, 3 Y 3.40-3.53, 5 Er 3.43-3.58
Er: 0.4724 0.8363 0.2444  4 Er 3.31-3.58, 1 Dy 3.40, 5 Y 3.45-3.71
Er: 0.5276 0.1637 0.7556  4 Er 3.31-3.58, 1 Dy 3.40, 5 Y 3.45-3.71
Er: 0.5909 0.5909 0.8856  2 Dy 3.40, 3 Y 3.40-3.53, 5 Er 3.43-3.58
Er: 0.6802 0.0664 0.3390  4 Y 3.35-3.68, 6 Er 3.38-3.74, 1 Dy 3.53
Er: 0.8363 0.4724 0.2444  4 Er 3.31-3.58, 1 Dy 3.40, 5 Y 3.45-3.71
Er: 0.9336 0.3198 0.6610  4 Y 3.35-3.68, 6 Er 3.38-3.74, 1 Dy 3.53
Er: 0.9438 0.9438 0.6659  7 Er 3.35-3.44, 2 Dy 3.37, 2 Y 3.38-3.59

## Properties
Symmetry = C2/m
Formation enthalpy at 0 K = 124 meV per atom

VASP calculation (PBE) on a geometry-optimized RbMnSiGe2 structure.

Cell lengths 4.9205, 4.9205, 6.2661 Å; angles 90.00, 90.00, 90.00 degrees
With the nearest neighbours (Å) after each atom.
Element x y z (fractional)
Rb: 0.0000 0.0000 0.0000  2 Si 3.13, 4 Mn 3.48
Mn: 0.5000 0.5000 0.0000  4 Rb 3.48
Si: 0.0000 0.0000 0.5000  4 Ge 2.46
Ge: 0.0000 0.5000 0.5000  2 Si 2.46
Ge: 0.5000 0.0000 0.5000  2 Si 2.46

## Properties
Symmetry = P4/mmm
ΔE_f (raw) = 999 meV per atom

VASP calculation (PBE) on a geometry-optimized NiSe2Br structure.

Cell lengths 6.5886, 6.5886, 6.5886 Å; angles 120.98, 120.98, 88.32 degrees
With the nearest neighbours (Å) after each atom.
Element x y z (fractional)
Ni: 0.0000 0.0000 0.0000  4 Se 2.26
Ni: 0.7500 0.2500 0.5000  4 Se 2.26
Se: 0.0336 0.6250 0.9086  2 Ni 2.26
Se: 0.3750 0.2836 0.4086  2 Ni 2.26
Se: 0.7164 0.1250 0.0914  2 Ni 2.26
Se: 0.8750 0.9664 0.5914  2 Ni 2.26
Br: 0.2500 0.7500 0.5000  4 Se 2.99
Br: 0.5000 0.5000 0.0000  4 Se 2.99

## Properties
Symmetry = I-42d
ΔE to the lowest computed polymorph = 0.335 eV per atom
ΔE_f (raw) = 97 meV per atom

VASP calculation (PBE) on a geometry-optimized SmDyOsRh structure.

Cell lengths 4.8831, 4.8831, 4.8831 Å; angles 60.00, 60.00, 60.00 degrees
With the nearest neighbours (Å) after each atom.
Element x y z (fractional)
Sm: 0.0000 0.0000 0.0000  4 Os 2.99, 4 Rh 2.99
Dy: 0.5000 0.5000 0.5000  4 Os 2.99, 4 Rh 2.99
Os: 0.7500 0.7500 0.7500  4 Dy 2.99, 4 Sm 2.99
Rh: 0.2500 0.2500 0.2500  4 Dy 2.99, 4 Sm 2.99

## Properties
Symmetry = F-43m
Formation enthalpy at 0 K = -378 meV per atom

VASP calculation (PBE) on a geometry-optimized TbHfBeN3 structure.

Cell lengths 6.7598, 3.1933, 6.7925 Å; angles 90.00, 102.15, 90.00 degrees
With the nearest neighbours (Å) after each atom.
Element x y z (fractional)
Tb: 0.2194 0.2500 0.1825  7 N 2.41-2.58
Tb: 0.7806 0.7500 0.8175  7 N 2.41-2.58
Hf: 0.1727 0.2500 0.6599  6 N 2.19-2.23
Hf: 0.8273 0.7500 0.3401  6 N 2.19-2.23
Be: 0.4034 0.7500 0.9200  4 N 1.71-1.84
Be: 0.5966 0.2500 0.0800  4 N 1.71-1.84
N: 0.1454 0.7500 0.8771  1 Be 1.71
N: 0.1643 0.7500 0.4320  3 Hf 2.22-2.23, 2 Tb 2.41
N: 0.4869 0.2500 0.8294  3 Be 1.71-1.84
N: 0.5131 0.7500 0.1706  3 Be 1.71-1.84
N: 0.8357 0.2500 0.5680  3 Hf 2.22-2.23, 2 Tb 2.41
N: 0.8546 0.2500 0.1229  1 Be 1.71

## Properties
Symmetry = P2_1/m
ΔE_f (raw) = -1503 meV per atom

VASP calculation (PBE) on a geometry-optimized KLi2As structure.

Cell lengths 10.5666, 10.5666, 10.5666 Å; angles 18.72, 18.72, 18.72 degrees
With the nearest neighbours (Å) after each atom.
Element x y z (fractional)
K: 0.0000 0.0000 0.0000  3 As 3.25, 6 K 3.44
Li: 0.2239 0.2239 0.2239  9 Li 3.33-3.44
Li: 0.4712 0.4712 0.4712  3 As 2.62
As: 0.7495 0.7495 0.7495  3 Li 2.62

## Properties
Symmetry = R3m
Formation enthalpy at 0 K = 24 meV per atom

VASP calculation (PBE) on a geometry-optimized CrTc2Ge structure.

Cell lengths 4.2730, 4.2730, 3.0240 Å; angles 90.00, 90.00, 90.00 degrees
With the nearest neighbours (Å) after each atom.
Element x y z (fractional)
Cr: 0.0000 0.0000 0.0000  8 Tc 2.62
Tc: 0.0000 0.5000 0.5000  4 Ge 2.62, 4 Cr 2.62
Tc: 0.5000 0.0000 0.5000  4 Ge 2.62, 4 Cr 2.62
Ge: 0.5000 0.5000 0.0000  8 Tc 2.62

## Properties
Symmetry = P4/mmm
Formation enthalpy at 0 K = -6 meV per atom

VASP calculation (PBE) on a geometry-optimized Y2HgTeCl structure.

Cell lengths 5.1352, 5.1352, 5.7727 Å; angles 90.00, 90.00, 90.00 degrees
With the nearest neighbours (Å) after each atom.
Element x y z (fractional)
Y: 0.0000 0.5000 0.0000  2 Cl 2.57
Y: 0.5000 0.0000 0.0000  2 Cl 2.57
Hg: 0.0000 0.0000 0.5000  4 Te 3.63, 8 Y 3.86
Te: 0.5000 0.5000 0.5000  2 Cl 2.89
Cl: 0.5000 0.5000 0.0000  4 Y 2.57

## Properties
Symmetry = P4/mmm
ΔE_f (raw) = -281 meV per atom

VASP calculation (PBE) on a geometry-optimized Y4Ga6Rh7 structure.

Cell lengths 7.3054, 7.3054, 7.3054 Å; angles 109.47, 109.47, 109.47 degrees
With the nearest neighbours (Å) after each atom.
Element x y z (fractional)
Y: 0.0000 0.0000 0.5000  6 Rh 2.98, 6 Ga 3.04
Y: 0.0000 0.5000 0.0000  6 Rh 2.98, 6 Ga 3.04
Y: 0.5000 0.0000 0.0000  6 Rh 2.98, 6 Ga 3.04
Y: 0.5000 0.5000 0.5000  6 Rh 2.98, 6 Ga 3.04
Ga: 0.0000 0.3182 0.3182  5 Rh 2.61-2.68
Ga: 0.0000 0.6818 0.6818  5 Rh 2.61-2.68
Ga: 0.3182 0.0000 0.3182  5 Rh 2.61-2.68
Ga: 0.3182 0.3182 0.0000  5 Rh 2.61-2.68
Ga: 0.6818 0.0000 0.6818  5 Rh 2.61-2.68
Ga: 0.6818 0.6818 0.0000  5 Rh 2.61-2.68
Rh: 0.0000 0.0000 0.0000  6 Ga 2.68
Rh: 0.2500 0.5000 0.7500  4 Ga 2.61
Rh: 0.2500 0.7500 0.5000  4 Ga 2.61
Rh: 0.5000 0.2500 0.7500  4 Ga 2.61
Rh: 0.5000 0.7500 0.2500  4 Ga 2.61
Rh: 0.7500 0.2500 0.5000  4 Ga 2.61
Rh: 0.7500 0.5000 0.2500  4 Ga 2.61

## Properties
Symmetry = Im-3m
Formation enthalpy at 0 K = -830 meV per atom

VASP calculation (PBE) on a geometry-optimized PrSm5ErTm2 structure.

Cell lengths 10.4693, 10.4693, 10.7303 Å; angles 90.00, 90.00, 148.86 degrees
With the nearest neighbours (Å) after each atom.
Element x y z (fractional)
Pr: 0.2024 0.7976 0.5000  2 Tm 3.46-3.74, 8 Sm 3.51-3.85, 2 Er 3.68
Pr: 0.7976 0.2024 0.0000  2 Tm 3.46-3.74, 8 Sm 3.51-3.85, 2 Er 3.68
Sm: 0.0168 0.9832 0.5149  2 Er 3.24, 3 Tm 3.43-3.57
Sm: 0.2823 0.7177 0.7968  1 Er 3.08, 1 Tm 3.36, 2 Sm 3.42
Sm: 0.2980 0.7020 0.1953  3 Sm 3.42-3.67, 3 Pr 3.51-3.80, 1 Er 3.51, 2 Tm 3.52
Sm: 0.3932 0.6068 0.5160  5 Sm 3.46-3.76, 4 Tm 3.59-3.63, 1 Pr 3.85
Sm: 0.4791 0.5209 0.2319  2 Er 3.20-3.33, 2 Sm 3.46-3.51, 2 Tm 3.50
Sm: 0.5209 0.4791 0.7319  2 Er 3.20-3.33, 2 Sm 3.46-3.51, 2 Tm 3.50
Sm: 0.6068 0.3932 0.0160  5 Sm 3.46-3.76, 4 Tm 3.59-3.63, 1 Pr 3.85
Sm: 0.7020 0.2980 0.6953  3 Sm 3.42-3.67, 3 Pr 3.51-3.80, 1 Er 3.51, 2 Tm 3.52
Sm: 0.7177 0.2823 0.2968  1 Er 3.08, 1 Tm 3.36, 2 Sm 3.42
Sm: 0.9832 0.0168 0.0149  2 Er 3.24, 3 Tm 3.43-3.57
Er: 0.4119 0.5881 0.9481  5 Sm 3.08-3.33
Er: 0.5881 0.4119 0.4481  5 Sm 3.08-3.33
Tm: 0.1088 0.8912 0.2302  7 Sm 3.43-3.84, 1 Pr 3.46, 2 Er 3.68
Tm: 0.1157 0.8843 0.8083  9 Sm 3.36-3.73, 1 Pr 3.74
Tm: 0.8843 0.1157 0.3083  9 Sm 3.36-3.73, 1 Pr 3.74
Tm: 0.8912 0.1088 0.7302  7 Sm 3.43-3.84, 1 Pr 3.46, 2 Er 3.68

## Properties
Symmetry = Cmc2_1
Formation enthalpy at 0 K = 151 meV per atom

VASP calculation (PBE) on a geometry-optimized KLiO structure.

Cell lengths 3.4547, 3.4547, 4.1736 Å; angles 90.00, 90.00, 120.00 degrees
With the nearest neighbours (Å) after each atom.
Element x y z (fractional)
K: 0.0000 0.0000 0.0000  6 O 2.89, 6 Li 2.89
Li: 0.6667 0.3333 0.5000  3 O 1.99
O: 0.3333 0.6667 0.5000  3 Li 1.99

## Properties
Symmetry = P-6m2
ΔE_f (raw) = -1327 meV per atom

VASP calculation (PBE) on a geometry-optimized Hg2C structure.

Cell lengths 3.5963, 3.5963, 4.9363 Å; angles 90.00, 90.00, 120.00 degrees
With the nearest neighbours (Å) after each atom.
Element x y z (fractional)
Hg: 0.3333 0.6667 0.2712  3 C 2.47
Hg: 0.6667 0.3333 0.7288  3 C 2.47
C: 0.0000 0.0000 0.0000  6 Hg 2.47

## Properties
Symmetry = P-3m1
Formation enthalpy at 0 K = 1574 meV per atom
ΔE to the lowest computed polymorph = 1.103 eV per atom

VASP calculation (PBE) on a geometry-optimized Os3PtCl structure.

Cell lengths 4.3258, 4.3258, 4.3258 Å; angles 90.00, 90.00, 90.00 degrees
With the nearest neighbours (Å) after each atom.
Element x y z (fractional)
Os: 0.0000 0.0000 0.5000  2 Cl 2.16
Os: 0.0000 0.5000 0.0000  2 Cl 2.16
Os: 0.5000 0.0000 0.0000  2 Cl 2.16
Pt: 0.5000 0.5000 0.5000  12 Os 3.06
Cl: 0.0000 0.0000 0.0000  6 Os 2.16

## Properties
Symmetry = Pm-3m
ΔE to the lowest computed polymorph = 0.000 eV per atom
ΔE_f (raw) = 1900 meV per atom

VASP calculation (PBE) on a geometry-optimized Sc6AlAg2 structure.

Cell lengths 8.0352, 8.0352, 8.0352 Å; angles 111.83, 108.67, 107.94 degrees
With the nearest neighbours (Å) after each atom.
Element x y z (fractional)
Sc: 0.0576 0.2321 0.8255  3 Ag 2.79-3.05, 1 Al 3.01
Sc: 0.2504 0.3017 0.5520  2 Ag 2.71-2.90, 2 Al 2.94-2.95
Sc: 0.2504 0.6983 0.9487  2 Ag 2.71-2.90, 2 Al 2.94-2.95
Sc: 0.2692 0.5897 0.3205  3 Ag 2.97-3.02, 1 Al 3.01, 1 Sc 3.23
Sc: 0.2692 0.9487 0.6795  3 Ag 2.97-3.02, 1 Al 3.01, 1 Sc 3.23
Sc: 0.4067 0.2321 0.1745  3 Ag 2.79-3.05, 1 Al 3.01
Sc: 0.5933 0.7679 0.8255  3 Ag 2.79-3.05, 1 Al 3.01
Sc: 0.7308 0.0513 0.3205  3 Ag 2.97-3.02, 1 Al 3.01, 1 Sc 3.23
Sc: 0.7308 0.4103 0.6795  3 Ag 2.97-3.02, 1 Al 3.01, 1 Sc 3.23
Sc: 0.7496 0.3017 0.0513  2 Ag 2.71-2.90, 2 Al 2.94-2.95
Sc: 0.7496 0.6983 0.4480  2 Ag 2.71-2.90, 2 Al 2.94-2.95
Sc: 0.9424 0.7679 0.1745  3 Ag 2.79-3.05, 1 Al 3.01
Al: 0.0000 0.5000 0.5000  8 Sc 2.95-3.01, 2 Ag 3.15
Al: 0.5000 0.5000 0.0000  8 Sc 2.94-3.01
Ag: 0.0000 0.1507 0.1507  4 Sc 2.71-2.97, 1 Ag 2.71
Ag: 0.0000 0.8493 0.8493  4 Sc 2.71-2.97, 1 Ag 2.71
Ag: 0.3578 0.0000 0.3578  1 Ag 2.66, 4 Sc 2.79-2.90
Ag: 0.6422 0.0000 0.6422  1 Ag 2.66, 4 Sc 2.79-2.90

## Properties
Symmetry = Immm
Formation enthalpy at 0 K = -177 meV per atom

VASP calculation (PBE) on a geometry-optimized K2GeI structure.

Cell lengths 6.1074, 6.1074, 6.1074 Å; angles 60.00, 60.00, 60.00 degrees
With the nearest neighbours (Å) after each atom.
Element x y z (fractional)
K: 0.2500 0.2500 0.2500  4 Ge 3.74, 4 I 3.74
K: 0.7500 0.7500 0.7500  4 Ge 3.74, 4 I 3.74
Ge: 0.0000 0.0000 0.0000  8 K 3.74
I: 0.5000 0.5000 0.5000  8 K 3.74

## Properties
Symmetry = Fm-3m
ΔE to the lowest computed polymorph = 0.000 eV per atom
ΔE_f (raw) = -315 meV per atom

VASP calculation (PBE) on a geometry-optimized PmHo6Er2Th3 structure.

Cell lengths 6.1591, 6.1591, 11.6869 Å; angles 95.05, 95.05, 119.99 degrees
With the nearest neighbours (Å) after each atom.
Element x y z (fractional)
Pm: 0.0000 0.0000 0.0000  6 Er 3.55-3.56, 6 Ho 3.57
Ho: 0.0846 0.4184 0.2538  3 Th 3.50, 6 Ho 3.55-3.56, 2 Er 3.57, 1 Pm 3.57
Ho: 0.2493 0.2493 0.7462  3 Th 3.50, 6 Ho 3.55-3.56, 2 Er 3.57, 1 Pm 3.57
Ho: 0.4184 0.0846 0.2538  3 Th 3.50, 6 Ho 3.55-3.56, 2 Er 3.57, 1 Pm 3.57
Ho: 0.5816 0.9154 0.7462  3 Th 3.50, 6 Ho 3.55-3.56, 2 Er 3.57, 1 Pm 3.57
Ho: 0.7507 0.7507 0.2538  3 Th 3.50, 6 Ho 3.55-3.56, 2 Er 3.57, 1 Pm 3.57
Ho: 0.9154 0.5816 0.7462  3 Th 3.50, 6 Ho 3.55-3.56, 2 Er 3.57, 1 Pm 3.57
Er: 0.3332 0.6668 0.0000  3 Pm 3.55-3.56, 3 Er 3.55-3.56, 6 Ho 3.57
Er: 0.6668 0.3332 0.0000  3 Pm 3.55-3.56, 3 Er 3.55-3.56, 6 Ho 3.57
Th: 0.1664 0.8336 0.5000  6 Ho 3.50, 6 Th 3.55-3.56
Th: 0.5000 0.5000 0.5000  6 Ho 3.50, 6 Th 3.56
Th: 0.8336 0.1664 0.5000  6 Ho 3.50, 6 Th 3.55-3.56

## Properties
Symmetry = C2/m
Formation enthalpy at 0 K = 22 meV per atom

VASP calculation (PBE) on a geometry-optimized Tm8Zn2Au structure.

Cell lengths 9.1025, 9.1025, 6.8022 Å; angles 105.49, 105.49, 31.92 degrees
With the nearest neighbours (Å) after each atom.
Element x y z (fractional)
Tm: 0.0275 0.0275 0.2740  1 Zn 2.88, 2 Au 3.04
Tm: 0.2023 0.2023 0.8219  1 Zn 2.81
Tm: 0.3339 0.3339 0.5274  3 Zn 2.84-3.10, 1 Au 2.96
Tm: 0.4077 0.4077 0.0441  1 Au 3.07, 2 Zn 3.25, 5 Tm 3.36-3.43
Tm: 0.5923 0.5923 0.9559  1 Au 3.07, 2 Zn 3.25, 5 Tm 3.36-3.43
Tm: 0.6661 0.6661 0.4726  3 Zn 2.84-3.10, 1 Au 2.96
Tm: 0.7977 0.7977 0.1781  1 Zn 2.81
Tm: 0.9725 0.9725 0.7260  1 Zn 2.88, 2 Au 3.04
Zn: 0.1854 0.1854 0.2215  5 Tm 2.81-3.10
Zn: 0.8146 0.8146 0.7785  5 Tm 2.81-3.10
Au: 0.5000 0.5000 0.5000  8 Tm 2.96-3.07

## Properties
Symmetry = C2/m
Formation enthalpy at 0 K = -248 meV per atom

VASP calculation (PBE) on a geometry-optimized DyEr4N5 structure.

Cell lengths 12.3906, 12.3906, 12.3906 Å; angles 164.05, 164.05, 22.63 degrees
With the nearest neighbours (Å) after each atom.
Element x y z (fractional)
Dy: 0.0000 0.0000 0.0000  6 N 2.43-2.45
Er: 0.2002 0.2002 0.0000  6 N 2.41-2.43
Er: 0.3994 0.3994 0.0000  6 N 2.42-2.45
Er: 0.6006 0.6006 0.0000  6 N 2.42-2.45
Er: 0.7998 0.7998 0.0000  6 N 2.41-2.43
N: 0.1008 0.1008 0.0000  5 Er 2.41-2.43, 1 Dy 2.45
N: 0.2999 0.2999 0.0000  6 Er 2.42-2.43
N: 0.5000 0.5000 0.0000  4 Dy 2.43, 2 Er 2.45
N: 0.7001 0.7001 0.0000  6 Er 2.42-2.43
N: 0.8992 0.8992 0.0000  5 Er 2.41-2.43, 1 Dy 2.45

## Properties
Symmetry = I4/mmm
ΔE_f (raw) = -1767 meV per atom

VASP calculation (PBE) on a geometry-optimized Er2Tm4Cd structure.

Cell lengths 8.2881, 8.2881, 8.3468 Å; angles 116.62, 116.62, 24.00 degrees
With the nearest neighbours (Å) after each atom.
Element x y z (fractional)
Er: 0.2187 0.2187 0.1417  1 Cd 3.18, 6 Tm 3.31-3.49, 4 Er 3.43-3.45
Er: 0.7813 0.7813 0.8583  1 Cd 3.18, 6 Tm 3.31-3.49, 4 Er 3.43-3.45
Tm: 0.0801 0.0801 0.7022  5 Tm 3.18-3.49, 1 Cd 3.29, 3 Er 3.31-3.38
Tm: 0.3682 0.3682 0.6042  8 Tm 3.45-3.82, 2 Cd 3.46, 3 Er 3.49
Tm: 0.6318 0.6318 0.3958  8 Tm 3.45-3.82, 2 Cd 3.46, 3 Er 3.49
Tm: 0.9199 0.9199 0.2978  5 Tm 3.18-3.49, 1 Cd 3.29, 3 Er 3.31-3.38
Cd: 0.0000 0.0000 0.0000  2 Er 3.18, 6 Tm 3.29-3.46, 2 Cd 3.45

## Properties
Symmetry = C2/m
Formation enthalpy at 0 K = 51 meV per atom

Here are the calculated mass density numbers, same order: 7.60, 3.43, 4.94, 12.22, 9.00, 2.00, 9.64, 5.91, 8.27, 7.63, 2.39, 12.41, 16.44, 4.27, 2.86, 9.51, 9.74, 10.43, 8.99 (Mg/m³).